(1)
PrSmSn | PBE | relaxed

- volume (Å³/atom) = 31.2

a b c (Å): 5.218 5.218 3.974
angles (deg): 90.00 90.00 120.00
Sites, in units of the cell vectors:
Pr  0.000  0.000  0.000
Sm  0.333  0.667  0.436
Sn  0.667  0.333  0.680

(2)
PrSmSn | PBE | relaxed

- volume (Å³/atom) = 30.9

a b c (Å): 7.056 5.027 10.443
angles (deg): 90.00 90.00 90.00
Sites, in units of the cell vectors:
Pr  0.075  0.250  0.202
Pr  0.425  0.750  0.702
Pr  0.575  0.250  0.298
Pr  0.925  0.750  0.798
Sm  0.162  0.250  0.550
Sm  0.338  0.750  0.050
Sm  0.662  0.250  0.950
Sm  0.838  0.750  0.450
Sn  0.203  0.250  0.874
Sn  0.297  0.750  0.374
Sn  0.703  0.250  0.626
Sn  0.797  0.750  0.126

(3)
PrSmSn | PBE | relaxed

- volume (Å³/atom) = 35.0

a b c (Å): 5.297 5.297 5.297
angles (deg): 60.00 60.00 60.00
Sites, in units of the cell vectors:
Pr  0.000  0.000  0.000
Sm  0.500  0.500  0.500
Sn  0.750  0.750  0.750

Which one is the most stable? From the structures above, (2).